# SrTlSbAu2, relaxed, DFT PBE
data_SrTlSbAu2
_chemical_formula_sum 'Sr1 Tl1 Sb1 Au2'
_space_group_name_H-M_alt 'P 1'
_space_group_IT_number 1
_cell_length_a 5.263
_cell_length_b 5.263
_cell_length_c 5.941
_cell_angle_alpha 90.00
_cell_angle_beta 90.00
_cell_angle_gamma 90.00
loop_
_space_group_symop_operation_xyz
'x,y,z'
loop_
_atom_site_label
_atom_site_type_symbol
_atom_site_fract_x
_atom_site_fract_y
_atom_site_fract_z
Sr1 Sr 0.000 0.000 0.000
Tl1 Tl 0.500 0.500 0.500
Sb1 Sb 0.500 0.500 0.000
Au1 Au 0.000 0.500 0.500
Au2 Au 0.500 0.000 0.500
# total magnetization = 0.000 μB per atom
# electronic total energy = -2.932 eV/atom
# DOS at the Fermi energy = 2.82 states/eV per cell